(1)
{"formula": "HgSe2BrN", "functional": "PBE-GGA", "state": "optimized geometry", "cell": [[5.554, 0.000, 0.000], [0.000, 5.554, 0.000], [0.000, 0.000, 4.227]], "species": ["Hg", "Se", "Se", "Br", "N"], "fractional_positions": [[0.000, 0.000, 0.000], [0.000, 0.500, 0.000], [0.500, 0.000, 0.000], [0.500, 0.500, 0.500], [0.000, 0.000, 0.500]], "de_polymorph_ev_per_atom": 0.4117, "formation_energy_uncorrected_mev_per_atom": 1364, "final_energy_ev_per_atom": -2.0898}



(2)
{"formula": "Ba2SeIBr", "functional": "PBE-GGA", "state": "optimized geometry", "cell": [[5.447, 0.000, 0.000], [-2.723, 4.717, 0.000], [0.000, 0.000, 8.382]], "species": ["Ba", "Ba", "Se", "I", "Br"], "fractional_positions": [[0.000, 0.000, 0.000], [0.333, 0.667, 0.463], [0.000, 0.000, 0.376], [0.667, 0.333, 0.753], [0.333, 0.667, 0.067]], "formation_energy_uncorrected_mev_per_atom": -1936, "final_energy_ev_per_atom": -4.0466}



(3)
{"formula": "Sc2UTl2Te6", "functional": "PBE-GGA", "state": "optimized geometry", "cell": [[3.678, -6.402, 0.000], [3.678, 6.402, 0.000], [-2.427, 0.000, 8.254]], "species": ["Sc", "Sc", "U", "Tl", "Tl", "Te", "Te", "Te", "Te", "Te", "Te"], "fractional_positions": [[0.168, 0.832, 0.000], [0.832, 0.168, 0.000], [0.500, 0.500, 0.000], [0.338, 0.662, 0.500], [0.662, 0.338, 0.500], [0.090, 0.431, 0.793], [0.222, 0.222, 0.206], [0.431, 0.090, 0.793], [0.569, 0.910, 0.207], [0.778, 0.778, 0.794], [0.910, 0.569, 0.207]], "formation_energy_uncorrected_mev_per_atom": -840, "final_energy_ev_per_atom": -5.1616}



(4)
{"formula": "K2Dy2CrS6", "functional": "PBE-GGA", "state": "optimized geometry", "cell": [[3.341, -5.672, 0.000], [3.341, 5.672, 0.000], [-2.302, 0.000, 7.558]], "species": ["K", "K", "Dy", "Dy", "Cr", "S", "S", "S", "S", "S", "S"], "fractional_positions": [[0.172, 0.828, 0.000], [0.828, 0.172, 0.000], [0.333, 0.667, 0.500], [0.667, 0.333, 0.500], [0.000, 0.000, 0.500], [0.068, 0.369, 0.691], [0.233, 0.233, 0.312], [0.369, 0.068, 0.691], [0.631, 0.932, 0.309], [0.767, 0.767, 0.688], [0.932, 0.631, 0.309]], "formation_energy_uncorrected_mev_per_atom": -1425, "final_energy_ev_per_atom": -5.5877}